DFT (PBE with a Hubbard U) results for a relaxed SiNiF2 crystal.

```
8
Lattice="-1.8331 1.8331 7.2505 1.8331 -1.8331 7.2505 1.8331 1.8331 -7.2505" Properties=species:S:1:pos:R:3 pbc="T T T"
Si 0.0000 0.0000 0.0000
Si 0.0000 1.8331 3.6253
Ni 1.8331 0.0000 3.6253
Ni 0.0000 0.0000 7.2505
F 2.7496 0.8758 -1.8126
F 0.8758 0.9165 1.8126
F -0.9165 0.9572 5.4379
F 0.9572 0.9165 9.0632
```

Summary:
Energy: -3.69 eV per atom
SG: No. 122